# 1
First-principles (PBE) data for crystalline YCr2Re at its relaxed geometry, as listed in the Alexandria database.

excess energy over the best structure of this formula in the dataset: 444 meV/atom
SG: No. 122

Lattice parameters (Å, degrees): 7.224 7.224 5.874 52.06 52.06 90.00
Sites, in units of the cell vectors:
Cr1 0.875 0.934 0.750
Cr2 0.066 0.625 0.250
Cr3 0.375 0.316 0.750
Cr4 0.684 0.125 0.250
Y1 0.250 0.750 0.500
Y2 0.500 0.500 0.000
Re1 0.750 0.250 0.500
Re2 0.000 0.000 0.000

=====

# 2
First-principles (PBE) data for crystalline YCrRe2 at its relaxed geometry, as listed in the Alexandria database.

excess energy over the best structure of this formula in the dataset: 320 meV/atom
SG: No. 123

Lattice parameters (Å, degrees): 4.531 4.531 3.216 90.00 90.00 90.00
Sites, in units of the cell vectors:
Cr1 0.000 0.500 0.500
Re1 0.500 0.500 0.000
Re2 0.000 0.000 0.000
Y1 0.500 0.000 0.500

=====

# 3
First-principles (PBE) data for crystalline YCrRe2 at its relaxed geometry, as listed in the Alexandria database.

excess energy over the best structure of this formula in the dataset: 22 meV/atom
SG: No. 99

Lattice parameters (Å, degrees): 3.112 3.112 7.069 90.00 90.00 90.00
Sites, in units of the cell vectors:
Cr1 0.500 0.500 0.802
Re1 0.500 0.500 0.204
Re2 0.000 0.000 0.988
Y1 0.000 0.000 0.506

=====

# 4
First-principles (PBE) data for crystalline YCr2Re at its relaxed geometry, as listed in the Alexandria database.

excess energy over the best structure of this formula in the dataset: 375 meV/atom
SG: No. 166

Lattice parameters (Å, degrees): 8.762 8.762 8.762 19.77 19.77 19.77
Sites, in units of the cell vectors:
Cr1 0.987 0.987 0.987
Cr2 0.513 0.513 0.513
Y1 0.750 0.750 0.750
Re1 0.250 0.250 0.250

=====

# 5
First-principles (PBE) data for crystalline YCrRe2 at its relaxed geometry, as listed in the Alexandria database.

excess energy over the best structure of this formula in the dataset: 223 meV/atom
SG: No. 225

Lattice parameters (Å, degrees): 4.511 4.511 4.511 60.00 60.00 60.00
Sites, in units of the cell vectors:
Y1 0.500 0.500 0.500
Cr1 0.000 0.000 0.000
Re1 0.750 0.750 0.750
Re2 0.250 0.250 0.250

=====

# 6
First-principles (PBE) data for crystalline YCr2Re at its relaxed geometry, as listed in the Alexandria database.

excess energy over the best structure of this formula in the dataset: 167 meV/atom
SG: No. 35

Lattice parameters (Å, degrees): 2.770 2.770 8.781 90.00 90.00 111.20
Sites, in units of the cell vectors:
Cr1 0.000 0.000 0.042
Cr2 0.500 0.500 0.237
Re1 0.000 0.000 0.464
Y1 0.500 0.500 0.757

=====

# 7
First-principles (PBE) data for crystalline YCrRe2 at its relaxed geometry, as listed in the Alexandria database.

excess energy over the best structure of this formula in the dataset: 0 meV/atom
SG: No. 123

Lattice parameters (Å, degrees): 3.074 3.074 7.177 90.00 90.00 90.00
Sites, in units of the cell vectors:
Y1 0.500 0.500 0.250
Re1 0.000 0.000 0.942
Re2 0.000 0.000 0.558
Cr1 0.500 0.500 0.750

=====

# 8
First-principles (PBE) data for crystalline YCrRe at its relaxed geometry, as listed in the Alexandria database.

excess energy over the best structure of this formula in the dataset: 301 meV/atom
SG: No. 42

Lattice parameters (Å, degrees): 7.136 6.918 2.907 82.32 73.88 23.81
Sites, in units of the cell vectors:
Y1 0.665 0.665 0.335
Cr1 0.982 0.982 0.018
Re1 0.353 0.353 0.647

=====

# 9
First-principles (PBE) data for crystalline YCrRe2 at its relaxed geometry, as listed in the Alexandria database.

excess energy over the best structure of this formula in the dataset: 95 meV/atom
SG: No. 71

Lattice parameters (Å, degrees): 5.391 5.391 4.723 64.04 64.04 32.87
Sites, in units of the cell vectors:
Cr1 0.250 0.250 0.250
Re1 0.973 0.973 0.027
Re2 0.527 0.527 0.473
Y1 0.750 0.750 0.750

=====

# 10
First-principles (PBE) data for crystalline YCr2Re at its relaxed geometry, as listed in the Alexandria database.

excess energy over the best structure of this formula in the dataset: 61 meV/atom
SG: No. 10

Lattice parameters (Å, degrees): 4.128 2.883 5.859 77.50 90.00 90.00
Sites, in units of the cell vectors:
Re1 0.500 0.250 0.250
Cr1 0.000 0.528 0.420
Cr2 0.000 0.972 0.080
Y1 0.500 0.750 0.750

=====

# 11
First-principles (PBE) data for crystalline YCrRe2 at its relaxed geometry, as listed in the Alexandria database.

excess energy over the best structure of this formula in the dataset: 260 meV/atom
SG: No. 166

Lattice parameters (Å, degrees): 9.075 9.075 9.075 18.69 18.69 18.69
Sites, in units of the cell vectors:
Re1 0.014 0.014 0.014
Re2 0.486 0.486 0.486
Cr1 0.750 0.750 0.750
Y1 0.250 0.250 0.250

=====

# 12
First-principles (PBE) data for crystalline YCrRe at its relaxed geometry, as listed in the Alexandria database.

excess energy over the best structure of this formula in the dataset: 91 meV/atom
SG: No. 187

Lattice parameters (Å, degrees): 3.987 3.987 4.539 90.00 90.00 120.00
Sites, in units of the cell vectors:
Cr1 0.000 0.000 0.167
Y1 0.333 0.667 0.667
Re1 0.667 0.333 0.167

=====

# 13
First-principles (PBE) data for crystalline YCr2Re at its relaxed geometry, as listed in the Alexandria database.

excess energy over the best structure of this formula in the dataset: 170 meV/atom
SG: No. 216

Lattice parameters (Å, degrees): 4.547 4.547 4.547 119.99 119.99 90.02
Sites, in units of the cell vectors:
Cr1 0.250 0.750 0.500
Cr2 0.000 0.000 0.000
Y1 0.750 0.250 0.500
Re1 0.500 0.500 0.000

=====

# 14
First-principles (PBE) data for crystalline YCrRe2 at its relaxed geometry, as listed in the Alexandria database.

excess energy over the best structure of this formula in the dataset: 435 meV/atom
SG: No. 65

Lattice parameters (Å, degrees): 5.271 5.271 2.854 90.00 90.00 119.92
Sites, in units of the cell vectors:
Cr1 0.000 0.500 0.500
Re1 0.000 0.000 0.000
Re2 0.500 0.500 0.000
Y1 0.500 0.000 0.500

=====

# 15
First-principles (PBE) data for crystalline YCr2Re at its relaxed geometry, as listed in the Alexandria database.

excess energy over the best structure of this formula in the dataset: 3 meV/atom
SG: No. 99

Lattice parameters (Å, degrees): 3.049 3.049 7.341 90.00 90.00 90.00
Sites, in units of the cell vectors:
Cr1 0.000 0.000 0.063
Cr2 0.500 0.500 0.255
Y1 0.500 0.500 0.737
Re1 0.000 0.000 0.445

=====

# 16
First-principles (PBE) data for crystalline YCrRe2 at its relaxed geometry, as listed in the Alexandria database.

excess energy over the best structure of this formula in the dataset: 134 meV/atom
SG: No. 65

Lattice parameters (Å, degrees): 2.781 2.781 9.028 90.00 90.00 110.60
Sites, in units of the cell vectors:
Y1 0.500 0.500 0.250
Cr1 0.500 0.500 0.750
Re1 0.000 0.000 0.966
Re2 0.000 0.000 0.534

=====

# 17
First-principles (PBE) data for crystalline Y4CrRe at its relaxed geometry, as listed in the Alexandria database.

SG: No. 216

Lattice parameters (Å, degrees): 6.000 6.000 6.000 60.00 60.00 60.00
Sites, in units of the cell vectors:
Y1 0.374 0.374 0.374
Y2 0.879 0.374 0.374
Y3 0.374 0.879 0.374
Y4 0.374 0.374 0.879
Re1 0.000 0.000 0.000
Cr1 0.750 0.750 0.750

=====

# 18
First-principles (PBE) data for crystalline YCr2Re at its relaxed geometry, as listed in the Alexandria database.

excess energy over the best structure of this formula in the dataset: 240 meV/atom
SG: No. 47

Lattice parameters (Å, degrees): 3.232 4.606 4.525 90.00 90.00 90.00
Sites, in units of the cell vectors:
Re1 0.500 0.000 0.500
Y1 0.000 0.500 0.500
Cr1 0.000 0.000 0.000
Cr2 0.500 0.500 0.000

=====

# 19
First-principles (PBE) data for crystalline YCr2Re at its relaxed geometry, as listed in the Alexandria database.

excess energy over the best structure of this formula in the dataset: 104 meV/atom
SG: No. 6

Lattice parameters (Å, degrees): 3.716 2.986 6.368 73.28 90.00 90.00
Sites, in units of the cell vectors:
Cr1 0.000 0.041 0.073
Cr2 0.500 0.214 0.240
Y1 0.500 0.772 0.757
Re1 0.000 0.474 0.429

=====

# 20
First-principles (PBE) data for crystalline YCrRe2 at its relaxed geometry, as listed in the Alexandria database.

excess energy over the best structure of this formula in the dataset: 136 meV/atom
SG: No. 8

Lattice parameters (Å, degrees): 5.061 5.061 5.108 71.79 71.79 35.80
Sites, in units of the cell vectors:
Re1 0.724 0.724 0.836
Re2 0.994 0.994 0.008
Y1 0.502 0.502 0.501
Cr1 0.281 0.281 0.155

=====

| no. | calculated formation energy (eV per formula unit) |
| --- | --- |
| 1 | 3.07 |
| 2 | 2.32 |
| 3 | 1.13 |
| 4 | 2.79 |
| 5 | 1.93 |
| 6 | 1.97 |
| 7 | 1.04 |
| 8 | 1.62 |
| 9 | 1.42 |
| 10 | 1.54 |
| 11 | 2.08 |
| 12 | 0.99 |
| 13 | 1.98 |
| 14 | 2.78 |
| 15 | 1.31 |
| 16 | 1.57 |
| 17 | 6.81 |
| 18 | 2.26 |
| 19 | 1.71 |
| 20 | 1.58 |